Here is a geometry-optimized NbOs3O structure from the Alexandria database. Energies are from PBEsol.

```
NbOs3O
1.0
4.738 0.000 0.000
0.000 4.738 0.000
0.000 0.000 4.738
Nb Os O
1 3 1
Direct
0.000 0.000 0.000 Nb
0.000 0.000 0.500 Os
0.000 0.500 0.000 Os
0.500 0.000 0.000 Os
0.500 0.500 0.500 O
```

Summary:
Its density of states at the Fermi level is 1.2066 states/eV per atom. Its total energy is -7.37 eV/atom. As for the space group: Pm-3m (221). The uncorrected formation energy is 15.9 eV/f.u.